[1]
A crystal of LiSbOs3 relaxed with PBEsol. Source: the Alexandria database, functional SCAN.

Unit cell a=4.1581 b=4.1581 c=4.1581 alpha=90.00 beta=90.00 gamma=90.00
Last column: nearest neighbours and their distance in Å.
Fractional coordinates of all 5 atoms:
Li  0.0000  0.0000  0.0000  6 Os 2.08
Sb  0.5000  0.5000  0.5000  12 Os 2.94
Os  0.0000  0.0000  0.5000  2 Li 2.08
Os  0.0000  0.5000  0.0000  2 Li 2.08
Os  0.5000  0.0000  0.0000  2 Li 2.08

Calculated values
Formation energy without anion corrections = 1373 meV per atom

***

[2]
A crystal of BeIrAu2 relaxed with PBEsol. Source: the Alexandria database, functional SCAN.

Unit cell a=2.8245 b=2.8245 c=6.9876 alpha=90.00 beta=90.00 gamma=90.00
Last column: nearest neighbours and their distance in Å.
Fractional coordinates of all 4 atoms:
Be  0.0000  0.0000  0.0000  4 Ir 2.33, 4 Au 2.57
Ir  0.5000  0.5000  0.1714  4 Be 2.33
Au  0.0000  0.0000  0.4625  8 Au 2.82-2.93, 4 Ir 2.85
Au  0.5000  0.5000  0.7686  4 Be 2.57, 1 Ir 2.81, 4 Au 2.82

Calculated values
E_form = -0.6 eV/f.u.

***

[3]
A crystal of SrSiMo2 relaxed with PBEsol. Source: the Alexandria database, functional SCAN.

Unit cell a=6.0796 b=6.0796 c=6.0796 alpha=154.54 beta=129.62 gamma=57.28
Last column: nearest neighbours and their distance in Å.
Fractional coordinates of all 4 atoms:
Sr  0.0000  0.0000  0.0000  2 Sr 2.68, 4 Si 2.91
Si  0.5000  0.5000  0.0000  4 Mo 2.55, 2 Si 2.68
Mo  0.2962  0.7962  0.5000  2 Si 2.55, 2 Mo 2.68
Mo  0.7038  0.2038  0.5000  2 Si 2.55, 2 Mo 2.68

Calculated values
Formation energy without anion corrections = 573 meV per atom

***

[4]
A crystal of CaDy2S4 relaxed with PBEsol. Source: the Alexandria database, functional SCAN.

Unit cell a=7.1370 b=7.1370 c=7.1370 alpha=109.51 beta=109.51 gamma=109.39
Last column: nearest neighbours and their distance in Å.
Fractional coordinates of all 14 atoms:
Ca  0.0000  0.0000  0.0000  8 S 2.78-2.98
Ca  0.7500  0.2500  0.5000  8 S 2.78-2.98
Dy  0.2473  0.6250  0.1223  8 S 2.73-2.94
Dy  0.3750  0.4973  0.6223  8 S 2.73-2.94
Dy  0.5027  0.1250  0.8777  8 S 2.73-2.94
Dy  0.8750  0.7527  0.3777  8 S 2.73-2.94
S  0.1315  0.2328  0.7498  4 Dy 2.73-2.94, 2 Ca 2.78-2.98
S  0.1317  0.7330  0.7502  4 Dy 2.73-2.94, 2 Ca 2.78-2.98
S  0.2670  0.0172  0.3987  4 Dy 2.73-2.94, 2 Ca 2.78-2.98
S  0.4830  0.3817  0.2502  4 Dy 2.73-2.94, 2 Ca 2.78-2.98
S  0.6183  0.8685  0.1013  4 Dy 2.73-2.94, 2 Ca 2.78-2.98
S  0.6185  0.8683  0.6013  4 Dy 2.73-2.94, 2 Ca 2.78-2.98
S  0.7672  0.5170  0.8987  4 Dy 2.73-2.94, 2 Ca 2.78-2.98
S  0.9828  0.3815  0.2498  4 Dy 2.73-2.94, 2 Ca 2.78-2.98

Calculated values
Formation energy without anion corrections = -2344 meV per atom

***

[5]
A crystal of Cs3CoCl relaxed with PBEsol. Source: the Alexandria database, functional SCAN.

Unit cell a=5.8260 b=5.8260 c=5.8260 alpha=90.00 beta=90.00 gamma=90.00
Last column: nearest neighbours and their distance in Å.
Fractional coordinates of all 5 atoms:
Cs  0.0000  0.0000  0.5000  2 Co 2.91
Cs  0.0000  0.5000  0.0000  2 Co 2.91
Cs  0.5000  0.0000  0.0000  2 Co 2.91
Co  0.0000  0.0000  0.0000  6 Cs 2.91
Cl  0.5000  0.5000  0.5000  12 Cs 4.12

Calculated values
Formation energy without anion corrections = 20 meV per atom

***

[6]
A crystal of Ba2SmCu3O7 relaxed with PBEsol. Source: the Alexandria database, functional SCAN.

Unit cell a=3.8282 b=3.8835 c=11.5607 alpha=90.00 beta=90.00 gamma=90.00
Last column: nearest neighbours and their distance in Å.
Fractional coordinates of all 13 atoms:
Ba  0.0000  0.0000  0.1808  10 O 2.74-2.96
Ba  0.0000  0.0000  0.8192  10 O 2.74-2.96
Sm  0.0000  0.0000  0.5000  8 O 2.41-2.43
Cu  0.5000  0.5000  0.0000  4 O 1.85-1.94
Cu  0.5000  0.5000  0.3485  4 O 1.94-1.96
Cu  0.5000  0.5000  0.6515  4 O 1.94-1.96
O  0.0000  0.5000  0.3735  2 Cu 1.94
O  0.0000  0.5000  0.6265  2 Cu 1.94
O  0.5000  0.0000  0.0000  2 Cu 1.94
O  0.5000  0.0000  0.3728  2 Cu 1.96
O  0.5000  0.0000  0.6272  2 Cu 1.96
O  0.5000  0.5000  0.1603  1 Cu 1.85
O  0.5000  0.5000  0.8397  1 Cu 1.85

Calculated values
Formation energy without anion corrections = -2044 meV per atom

***

[7]
A crystal of SrMn2Si relaxed with PBEsol. Source: the Alexandria database, functional SCAN.

Unit cell a=5.9303 b=5.9303 c=5.9303 alpha=40.12 beta=40.12 gamma=40.12
Last column: nearest neighbours and their distance in Å.
Fractional coordinates of all 4 atoms:
Sr  0.0000  0.0000  0.0000  8 Mn 3.15-3.28
Mn  0.1931  0.1931  0.1931  3 Si 2.39, 3 Mn 2.50
Mn  0.8069  0.8069  0.8069  3 Si 2.39, 3 Mn 2.50
Si  0.5000  0.5000  0.5000  6 Mn 2.39

Calculated values
Formation energy without anion corrections = -94 meV per atom

***

[8]
A crystal of Sm3B2O6F3 relaxed with PBEsol. Source: the Alexandria database, functional SCAN.

Unit cell a=7.0647 b=7.0647 c=8.3079 alpha=96.46 beta=96.46 gamma=52.16
Last column: nearest neighbours and their distance in Å.
Fractional coordinates of all 28 atoms:
Sm  0.0998  0.9002  0.7500  5 F 2.35-2.57, 4 O 2.35-2.37
Sm  0.2145  0.4294  0.3212  2 F 2.29-2.54, 5 O 2.33-2.53
Sm  0.4294  0.2145  0.8212  2 F 2.29-2.54, 5 O 2.33-2.53
Sm  0.5706  0.7855  0.1788  2 F 2.29-2.54, 5 O 2.33-2.53
Sm  0.7855  0.5706  0.6788  2 F 2.29-2.54, 5 O 2.33-2.53
Sm  0.9002  0.0998  0.2500  5 F 2.35-2.57, 4 O 2.35-2.37
B  0.0905  0.2707  0.0225  3 O 1.38-1.40
B  0.2707  0.0905  0.5225  3 O 1.38-1.40
B  0.7293  0.9095  0.4775  3 O 1.38-1.40
B  0.9095  0.7293  0.9775  3 O 1.38-1.40
O  0.0475  0.2515  0.8575  1 B 1.38
O  0.0793  0.6195  0.8628  1 B 1.38
O  0.2028  0.3187  0.5755  1 B 1.40
O  0.2515  0.0475  0.3575  1 B 1.38
O  0.3187  0.2028  0.0755  1 B 1.40
O  0.3805  0.9207  0.6372  1 B 1.38
O  0.6195  0.0793  0.3628  1 B 1.38
O  0.6813  0.7972  0.9245  1 B 1.40
O  0.7485  0.9525  0.6425  1 B 1.38
O  0.7972  0.6813  0.4245  1 B 1.40
O  0.9207  0.3805  0.1372  1 B 1.38
O  0.9525  0.7485  0.1425  1 B 1.38
F  0.1216  0.7747  0.4586  2 Sm 2.29-2.47, 1 B 2.33
F  0.2253  0.8784  0.0414  2 Sm 2.29-2.47, 1 B 2.33
F  0.4788  0.5212  0.7500  3 Sm 2.35-2.54
F  0.5212  0.4788  0.2500  3 Sm 2.35-2.54
F  0.7747  0.1216  0.9586  2 Sm 2.29-2.47, 1 B 2.33
F  0.8784  0.2253  0.5414  2 Sm 2.29-2.47, 1 B 2.33

Calculated values
Formation energy without anion corrections = -3670 meV per atom